PBE+U RbMnF3, relaxed; total energy = -20.17 eV per formula unit
1.0
4.9051 0.0000 0.0000
0.0000 4.9051 0.0000
0.0000 0.0000 4.9051
Mn Rb F
1 1 3
Direct
0.5000 0.5000 0.5000
0.0000 0.0000 0.0000
0.0000 0.5000 0.0000
0.0000 0.0000 0.5000
0.5000 0.0000 0.0000